Density functional theory data (GGA-PBE) for a relaxed Tb3Nd7Er2 crystal.

It has space group P2/m (No. 10), with a = 6.476 Å, b = 3.571 Å, c = 17.643 Å, α = 90.00°, β = 95.89° and γ = 90.00°. The distinct sites, in fractional coordinates, are Tb at (0.000, 0.000, 0.000), Tb at (0.045, 0.500, 0.660), Nd at (0.224, 0.500, 0.168), Nd at (0.243, 0.000, 0.506), Nd at (0.276, 0.000, 0.828), Nd at (0.500, 0.500, 0.000) and Er at (0.441, 0.000, 0.330).

Its volume is 405.9 Å³/cell. As for the total energy: -4.6267 eV per atom. The calculation puts the spin magnetization at 0.0 μB/cell.

Density functional theory data (GGA-PBE) for a relaxed CaTlPS2 crystal.

It has space group P4/mmm (No. 123), with a = 5.342 Å, b = 5.342 Å, c = 5.549 Å, α = 90.00°, β = 90.00° and γ = 90.00°. The distinct sites, in fractional coordinates, are Ca at (0.000, 0.000, 0.000), Tl at (0.500, 0.500, 0.500), P at (0.000, 0.000, 0.500) and S at (0.000, 0.500, 0.000).

Its volume is 158.4 Å³/cell. The calculation puts the spin magnetization at 3.1 μB/cell. For the formation energy from raw total energies, the calculation gives 0.16 eV per atom.

Density functional theory data (GGA-PBE) for a relaxed VPt crystal.

It has space group C2/m (No. 12), with a = 9.013 Å, b = 2.746 Å, c = 4.792 Å, α = 90.00°, β = 102.63° and γ = 90.00°. The distinct sites, in fractional coordinates, are V at (0.135, 0.000, 0.357) and Pt at (0.118, 0.500, 0.848).

Its volume is 115.7 Å³/cell. As for the total energy: -8.0710 eV per atom. The calculation puts the spin magnetization at 0.0 μB/cell.

Density functional theory data (GGA-PBE) for a relaxed Ac2GaAs3 crystal.

It has space group C2/c (No. 15), with a = 6.712 Å, b = 13.748 Å, c = 15.013 Å, α = 90.00°, β = 94.34° and γ = 90.00°. The distinct sites, in fractional coordinates, are Ac at (0.231, 0.210, 0.341), Ac at (0.245, 0.099, 0.929), Ga at (0.221, 0.496, 0.846), As at (0.000, 0.024, 0.250), As at (0.000, 0.398, 0.250), As at (0.201, 0.315, 0.870) and As at (0.239, 0.105, 0.523).

Its volume is 1381.3 Å³/cell. As for the total energy: -5.2030 eV per atom. The calculation puts the spin magnetization at 0.0 μB/cell.